Entry 1:
PrZn11Ga: relaxed, PBE.

Results
- Calculated formation energy: -179 meV per atom
- SG: C2/m, No. 12
- Magnetic moment: 0.0 μB per formula unit

abc: 6.8810 6.8810 6.8558
angles: 98.50 98.50 134.82
Last column: nearest neighbours and their distance in Å.
Fractional positions:
Pr 0.0000 0.0000 0.0000  18 Zn 3.20-3.44, 2 Ga 3.43
Zn 0.0000 0.0000 0.5000  8 Zn 2.62-2.77, 2 Ga 2.64
Zn 0.0000 0.5000 0.0000  10 Zn 2.59-2.78
Zn 0.0118 0.6525 0.6451  7 Zn 2.56-2.85, 1 Ga 2.82
Zn 0.2752 0.4975 0.7812  8 Zn 2.59-2.85, 1 Ga 2.64
Zn 0.3475 0.9882 0.3549  7 Zn 2.56-2.85, 1 Ga 2.82
Zn 0.4975 0.2752 0.7812  8 Zn 2.59-2.85, 1 Ga 2.64
Zn 0.5000 0.0000 0.0000  10 Zn 2.59-2.78
Zn 0.5025 0.7248 0.2188  8 Zn 2.59-2.85, 1 Ga 2.64
Zn 0.6525 0.0118 0.6451  7 Zn 2.56-2.85, 1 Ga 2.82
Zn 0.7248 0.5025 0.2188  8 Zn 2.59-2.85, 1 Ga 2.64
Zn 0.9882 0.3475 0.3549  7 Zn 2.56-2.85, 1 Ga 2.82
Ga 0.5000 0.5000 0.5000  10 Zn 2.64-2.82

=====

Entry 2:
Pr3Zn8Ga3: relaxed, PBE.

Results
- Energy above the lowest structure with this stoichiometry: 0 meV/atom
- Calculated formation energy: -401 meV per atom
- SG: C2/m, No. 12
- Magnetic moment: 0.0 μB per formula unit

abc: 8.3648 8.3648 9.4918
angles: 124.55 124.55 30.53
Last column: nearest neighbours and their distance in Å.
Fractional positions:
Pr 0.0000 0.0000 0.0000  12 Zn 3.18-3.52, 4 Ga 3.25
Pr 0.3080 0.3080 0.3070  11 Zn 3.14-3.42, 4 Ga 3.18-3.34
Pr 0.6920 0.6920 0.6930  11 Zn 3.14-3.42, 4 Ga 3.18-3.34
Zn 0.1396 0.1396 0.8650  5 Zn 2.56-2.86, 1 Ga 2.81
Zn 0.1472 0.1472 0.4196  4 Ga 2.61-2.89
Zn 0.3372 0.3372 0.9777  1 Ga 2.53, 4 Zn 2.55-2.70
Zn 0.4997 0.4997 0.2890  1 Zn 2.55, 1 Ga 2.58
Zn 0.5003 0.5003 0.7110  1 Zn 2.55, 1 Ga 2.58
Zn 0.6628 0.6628 0.0223  1 Ga 2.53, 4 Zn 2.55-2.70
Zn 0.8528 0.8528 0.5804  4 Ga 2.61-2.89
Zn 0.8604 0.8604 0.1350  5 Zn 2.56-2.86, 1 Ga 2.81
Ga 0.0000 0.0000 0.5000  8 Zn 2.81-2.98
Ga 0.3417 0.3417 0.7154  5 Zn 2.53-2.72
Ga 0.6583 0.6583 0.2846  5 Zn 2.53-2.72

=====

Please write out number 2 again, unchanged.
Pr3Zn8Ga3: relaxed, PBE.

Results
- Energy above the lowest structure with this stoichiometry: 0 meV/atom
- Calculated formation energy: -401 meV per atom
- SG: C2/m, No. 12
- Magnetic moment: 0.0 μB per formula unit

abc: 8.3648 8.3648 9.4918
angles: 124.55 124.55 30.53
Last column: nearest neighbours and their distance in Å.
Fractional positions:
Pr 0.0000 0.0000 0.0000  12 Zn 3.18-3.52, 4 Ga 3.25
Pr 0.3080 0.3080 0.3070  11 Zn 3.14-3.42, 4 Ga 3.18-3.34
Pr 0.6920 0.6920 0.6930  11 Zn 3.14-3.42, 4 Ga 3.18-3.34
Zn 0.1396 0.1396 0.8650  5 Zn 2.56-2.86, 1 Ga 2.81
Zn 0.1472 0.1472 0.4196  4 Ga 2.61-2.89
Zn 0.3372 0.3372 0.9777  1 Ga 2.53, 4 Zn 2.55-2.70
Zn 0.4997 0.4997 0.2890  1 Zn 2.55, 1 Ga 2.58
Zn 0.5003 0.5003 0.7110  1 Zn 2.55, 1 Ga 2.58
Zn 0.6628 0.6628 0.0223  1 Ga 2.53, 4 Zn 2.55-2.70
Zn 0.8528 0.8528 0.5804  4 Ga 2.61-2.89
Zn 0.8604 0.8604 0.1350  5 Zn 2.56-2.86, 1 Ga 2.81
Ga 0.0000 0.0000 0.5000  8 Zn 2.81-2.98
Ga 0.3417 0.3417 0.7154  5 Zn 2.53-2.72
Ga 0.6583 0.6583 0.2846  5 Zn 2.53-2.72

=====

Please write out number 2 again, unchanged.
Pr3Zn8Ga3: relaxed, PBE.

Results
- Energy above the lowest structure with this stoichiometry: 0 meV/atom
- Calculated formation energy: -401 meV per atom
- SG: C2/m, No. 12
- Magnetic moment: 0.0 μB per formula unit

abc: 8.3648 8.3648 9.4918
angles: 124.55 124.55 30.53
Last column: nearest neighbours and their distance in Å.
Fractional positions:
Pr 0.0000 0.0000 0.0000  12 Zn 3.18-3.52, 4 Ga 3.25
Pr 0.3080 0.3080 0.3070  11 Zn 3.14-3.42, 4 Ga 3.18-3.34
Pr 0.6920 0.6920 0.6930  11 Zn 3.14-3.42, 4 Ga 3.18-3.34
Zn 0.1396 0.1396 0.8650  5 Zn 2.56-2.86, 1 Ga 2.81
Zn 0.1472 0.1472 0.4196  4 Ga 2.61-2.89
Zn 0.3372 0.3372 0.9777  1 Ga 2.53, 4 Zn 2.55-2.70
Zn 0.4997 0.4997 0.2890  1 Zn 2.55, 1 Ga 2.58
Zn 0.5003 0.5003 0.7110  1 Zn 2.55, 1 Ga 2.58
Zn 0.6628 0.6628 0.0223  1 Ga 2.53, 4 Zn 2.55-2.70
Zn 0.8528 0.8528 0.5804  4 Ga 2.61-2.89
Zn 0.8604 0.8604 0.1350  5 Zn 2.56-2.86, 1 Ga 2.81
Ga 0.0000 0.0000 0.5000  8 Zn 2.81-2.98
Ga 0.3417 0.3417 0.7154  5 Zn 2.53-2.72
Ga 0.6583 0.6583 0.2846  5 Zn 2.53-2.72